Version P
# CoPb2Cl6 | the Alexandria database | PBE | relaxed
data_CoPb2Cl6
_chemical_formula_sum 'Co2 Pb4 Cl12'
_symmetry_space_group_name_H-M 'P 1'
_symmetry_Int_Tables_number 1
_symmetry_space_group_name_Hall 'P 1'
_cell_length_a 6.463
_cell_length_b 6.463
_cell_length_c 12.478
_cell_angle_alpha 90.00
_cell_angle_beta 90.00
_cell_angle_gamma 90.00
loop_
_atom_site_label
_atom_site_type_symbol
_atom_site_fract_x
_atom_site_fract_y
_atom_site_fract_z
_atom_site_occupancy
Co1 Co 0.000 0.000 0.000 1
Co2 Co 0.500 0.500 0.500 1
Pb1 Pb 0.000 0.000 0.334 1
Pb2 Pb 0.000 0.000 0.666 1
Pb3 Pb 0.500 0.500 0.166 1
Pb4 Pb 0.500 0.500 0.834 1
Cl1 Cl 0.182 0.182 0.146 1
Cl2 Cl 0.182 0.182 0.854 1
Cl3 Cl 0.231 0.231 0.500 1
Cl4 Cl 0.269 0.731 0.000 1
Cl5 Cl 0.318 0.682 0.354 1
Cl6 Cl 0.318 0.682 0.646 1
Cl7 Cl 0.682 0.318 0.354 1
Cl8 Cl 0.682 0.318 0.646 1
Cl9 Cl 0.731 0.269 0.000 1
Cl10 Cl 0.769 0.769 0.500 1
Cl11 Cl 0.818 0.818 0.146 1
Cl12 Cl 0.818 0.818 0.854 1
# spin magnetization	3.00	μB per formula unit
# crystal system	tetragonal

Version Q
# CoPb2Cl6 | the Alexandria database | PBE | relaxed
data_CoPb2Cl6
_chemical_formula_sum 'Co1 Pb2 Cl6'
_symmetry_space_group_name_H-M 'P 1'
_symmetry_Int_Tables_number 1
_symmetry_space_group_name_Hall 'P 1'
_cell_length_a 7.074
_cell_length_b 7.074
_cell_length_c 11.391
_cell_angle_alpha 115.70
_cell_angle_beta 115.70
_cell_angle_gamma 33.96
loop_
_atom_site_label
_atom_site_type_symbol
_atom_site_fract_x
_atom_site_fract_y
_atom_site_fract_z
_atom_site_occupancy
Co1 Co 0.000 0.000 0.000 1
Pb1 Pb 0.307 0.307 0.694 1
Pb2 Pb 0.693 0.693 0.306 1
Cl1 Cl 0.010 0.010 0.212 1
Cl2 Cl 0.188 0.188 0.097 1
Cl3 Cl 0.347 0.347 0.466 1
Cl4 Cl 0.653 0.653 0.534 1
Cl5 Cl 0.812 0.812 0.903 1
Cl6 Cl 0.990 0.990 0.788 1
# spin magnetization	3.03	μB per formula unit
# crystal system	monoclinic

Most stable of them? version P.

Version P
# CoPbCl4 | the Alexandria database | PBE | relaxed
data_CoPbCl4
_chemical_formula_sum 'Co2 Pb2 Cl8'
_symmetry_space_group_name_H-M 'P 1'
_symmetry_Int_Tables_number 1
_symmetry_space_group_name_Hall 'P 1'
_cell_length_a 7.727
_cell_length_b 7.727
_cell_length_c 7.727
_cell_angle_alpha 106.10
_cell_angle_beta 106.10
_cell_angle_gamma 116.45
loop_
_atom_site_label
_atom_site_type_symbol
_atom_site_fract_x
_atom_site_fract_y
_atom_site_fract_z
_atom_site_occupancy
Co1 Co 0.375 0.625 0.750 1
Co2 Co 0.625 0.375 0.250 1
Pb1 Pb 0.125 0.875 0.250 1
Pb2 Pb 0.875 0.125 0.750 1
Cl1 Cl 0.191 0.260 0.569 1
Cl2 Cl 0.191 0.622 0.931 1
Cl3 Cl 0.260 0.191 0.069 1
Cl4 Cl 0.378 0.809 0.569 1
Cl5 Cl 0.622 0.191 0.431 1
Cl6 Cl 0.740 0.809 0.931 1
Cl7 Cl 0.809 0.378 0.069 1
Cl8 Cl 0.809 0.740 0.431 1
# spin magnetization	3.00	μB per formula unit
# crystal system	tetragonal

Version Q
# CoPbCl4 | the Alexandria database | PBE | relaxed
data_CoPbCl4
_chemical_formula_sum 'Co1 Pb1 Cl4'
_symmetry_space_group_name_H-M 'P 1'
_symmetry_Int_Tables_number 1
_symmetry_space_group_name_Hall 'P 1'
_cell_length_a 5.930
_cell_length_b 5.930
_cell_length_c 5.930
_cell_angle_alpha 60.00
_cell_angle_beta 60.00
_cell_angle_gamma 60.00
loop_
_atom_site_label
_atom_site_type_symbol
_atom_site_fract_x
_atom_site_fract_y
_atom_site_fract_z
_atom_site_occupancy
Co1 Co 0.000 0.000 0.000 1
Pb1 Pb 0.750 0.750 0.750 1
Cl1 Cl 0.374 0.374 0.374 1
Cl2 Cl 0.374 0.374 0.878 1
Cl3 Cl 0.374 0.878 0.374 1
Cl4 Cl 0.878 0.374 0.374 1
# spin magnetization	3.85	μB per formula unit
# crystal system	cubic

Most stable of them? version P.